(1)
# Zn3As2H8O12

A geometry-optimized Zn3As2H8O12 structure (PBE, Alexandria).

Values from the calculation:
Uncorrected energy (eV per cell): -129.65

abc: 5.526 6.070 7.702
angles: 93.07 95.72 90.52
Atoms (fractional coordinates):
Zn: 0.189 0.759 0.099
Zn: 0.500 0.000 0.500
Zn: 0.811 0.241 0.901
O: 0.734 0.770 0.401
O: 0.774 0.260 0.462
O: 0.308 0.028 0.250
O: 0.226 0.740 0.538
O: 0.832 0.800 0.068
O: 0.641 0.302 0.110
O: 0.226 0.488 0.237
O: 0.266 0.230 0.599
O: 0.168 0.200 0.932
O: 0.774 0.512 0.763
O: 0.692 0.972 0.750
O: 0.359 0.698 0.890
H: 0.747 0.394 0.537
H: 0.099 0.223 0.538
H: 0.757 0.301 0.337
H: 0.901 0.777 0.462
H: 0.753 0.777 0.273
H: 0.243 0.699 0.663
H: 0.247 0.223 0.727
H: 0.253 0.606 0.463
As: 0.664 0.739 0.870
As: 0.336 0.261 0.130


(2)
# NpPa2Zn

A geometry-optimized NpPa2Zn structure (PBE, Alexandria).

Values from the calculation:
Uncorrected energy (eV per cell): -32.31
Energy above the most stable polymorph in this dataset (meV per atom): 180

abc: 3.592 3.592 6.712
angles: 90.00 90.00 90.00
Last column: magnetic moment on the atom in μB.
Atoms (fractional coordinates):
Pa: 0.000 0.000 0.240  0.18
Pa: 0.000 0.000 0.760  0.18
Np: 0.500 0.500 0.000  2.47
Zn: 0.500 0.500 0.500  -0.01


(3)
# Sr2SiB

A geometry-optimized Sr2SiB structure (PBE, Alexandria).

Values from the calculation:
Uncorrected energy (eV per cell): -13.69
Formation energy without anion corrections (eV/atom): 0.4444
Energy above the most stable polymorph in this dataset (meV per atom): 0

abc: 5.211 5.211 5.211
angles: 60.00 60.00 60.00
Atoms (fractional coordinates):
Sr: 0.750 0.750 0.750
Sr: 0.250 0.250 0.250
B: 0.000 0.000 0.000
Si: 0.500 0.500 0.500


(4)
# TiBiRuI2

A geometry-optimized TiBiRuI2 structure (PBE, Alexandria).

Values from the calculation:
Uncorrected energy (eV per cell): -17.15
Formation energy without anion corrections (eV/atom): 1.3998

abc: 6.198 6.198 5.149
angles: 90.00 90.00 90.00
Last column: magnetic moment on the atom in μB.
Atoms (fractional coordinates):
I: 0.500 0.000 0.000  0.02
I: 0.000 0.500 0.000  0.02
Bi: 0.000 0.000 0.000  -0.10
Ru: 0.000 0.000 0.500  1.65
Ti: 0.500 0.500 0.500  -0.57


(5)
# SrHf3Ge

A geometry-optimized SrHf3Ge structure (PBE, Alexandria).

Values from the calculation:
Uncorrected energy (eV per cell): -25.41
Energy above the most stable polymorph in this dataset (meV per atom): 1716

abc: 5.139 5.139 5.139
angles: 90.00 90.00 90.00
Atoms (fractional coordinates):
Sr: 0.000 0.000 0.000
Hf: 0.000 0.000 0.500
Hf: 0.000 0.500 0.000
Hf: 0.500 0.000 0.000
Ge: 0.500 0.500 0.500


(6)
# Al2Rh2Pb

A geometry-optimized Al2Rh2Pb structure (PBE, Alexandria).

Values from the calculation:
Uncorrected energy (eV per cell): -56.33
Energy above the most stable polymorph in this dataset (meV per atom): 55

abc: 7.570 7.570 2.941
angles: 90.00 90.00 90.00
Atoms (fractional coordinates):
Al: 0.632 0.132 0.000
Al: 0.368 0.868 0.000
Al: 0.868 0.632 0.000
Al: 0.132 0.368 0.000
Pb: 0.500 0.500 0.000
Pb: 0.000 0.000 0.000
Rh: 0.347 0.153 0.500
Rh: 0.653 0.847 0.500
Rh: 0.153 0.653 0.500
Rh: 0.847 0.347 0.500